A relaxed BaZr2Mo crystal, computed with GGA-PBE.

```
BaZr2Mo
1.0
0.0000 3.6079 3.6079
3.6079 0.0000 3.6079
3.6079 3.6079 0.0000
Ba Zr Mo
1 2 1
Cartesian
0.0000 0.0000 0.0000
1.8040 1.8040 1.8040
5.4119 5.4119 5.4119
3.6079 3.6079 3.6079
```

Values from the calculation:
Space group: No. 225
Formation enthalpy at 0 K (eV per atom): 0.780


A relaxed Tm4GaAs3 crystal, computed with GGA-PBE.

```
Tm4GaAs3
1.0
5.7615 0.0000 0.0000
0.0000 5.7615 0.0000
0.0000 0.0000 5.7615
Tm Ga As
4 1 3
Cartesian
0.0000 0.0000 0.0000
0.0000 2.8808 2.8808
2.8808 0.0000 2.8808
2.8808 2.8808 0.0000
2.8808 2.8808 2.8808
0.0000 0.0000 2.8808
0.0000 2.8808 0.0000
2.8808 0.0000 0.0000
```

Values from the calculation:
Space group: No. 221
Formation enthalpy at 0 K (eV per atom): -1.149


Summary of total magnetic moment in μB per formula unit
0.00, 0.00
(order as listed above)